This record from the Alexandria database describes a relaxed structure of NdHo4Pt4. The functional is PBE.

extended XYZ file:
```
18
Lattice="5.7081 0.0000 0.0000 0.0000 9.1055 0.0000 0.0000 0.0000 9.1055" Properties=species:S:1:pos:R:3 pbc="T T T"
Ho 2.3867 3.0302 8.1911
Ho 2.3867 6.0753 0.9144
Ho 5.2408 3.6384 1.5226
Ho 0.4673 1.5226 5.4671
Pt 0.4626 7.9385 6.4477
Pt 0.4626 1.1670 2.6578
Nd 0.0000 0.0000 0.0000
Pt 2.3914 5.7197 7.2106
Pt 5.2455 6.4477 1.1670
Pt 3.3167 1.8949 5.7197
Ho 0.4673 7.5829 3.6384
Pt 5.2455 2.6578 7.9385
Ho 5.2408 5.4671 7.5829
Pt 3.3167 7.2106 3.3858
Nd 2.8541 4.5527 4.5527
Ho 3.3214 0.9144 3.0302
Ho 3.3214 8.1911 6.0753
Pt 2.3914 3.3858 1.8949
```

ΔE_f (eV/f.u.): -9.46
Crystal system: tetragonal
Total energy (eV per atom): -6.300
N(E_F) (states/eV per atom): 0.77

This record from the Alexandria database describes a relaxed structure of Nd2HoPt. The functional is PBE.

extended XYZ file:
```
16
Lattice="6.5760 0.0000 0.0000 0.0000 7.1550 0.0000 0.0000 0.0000 10.0220" Properties=species:S:1:pos:R:3 pbc="T T T"
Pt 2.9806 6.3269 2.5055
Pt 3.5955 0.8282 7.5165
Nd 4.4481 5.8509 9.4073
Ho 0.9569 6.9241 7.5165
Nd 2.1279 1.3042 4.3963
Pt 0.3074 2.7494 2.5055
Ho 5.6191 0.2309 2.5055
Nd 2.1279 1.3042 0.6146
Ho 4.2449 3.8084 2.5055
Nd 1.1601 4.8817 0.6146
Nd 5.4159 2.2734 9.4073
Pt 6.2686 4.4057 7.5165
Nd 5.4159 2.2734 5.6256
Nd 1.1601 4.8817 4.3963
Ho 2.3311 3.3466 7.5165
Nd 4.4481 5.8509 5.6256
```

ΔE_f (eV/f.u.): -2.59
Crystal system: orthorhombic
Total energy (eV per atom): -5.687
ΔE to the lowest computed polymorph (meV per atom): 0
N(E_F) (states/eV per atom): 0.94

This record from the Alexandria database describes a relaxed structure of Nd2Ho2Pt3. The functional is PBE.

extended XYZ file:
```
14
Lattice="7.2348 0.0000 -2.5579 -3.6174 6.2655 -2.5579 0.0000 0.0000 7.6737" Properties=species:S:1:pos:R:3 pbc="T T T"
Ho 0.4439 5.4967 0.3139
Pt 2.2191 0.7109 4.5354
Pt 5.5096 1.5664 1.9775
Pt 1.7252 4.6991 3.1383
Pt -0.4104 2.4219 0.5804
Nd 0.0000 0.0000 2.8622
Nd 4.5073 3.1328 -3.5120
Ho -1.3648 3.9016 2.8718
Nd 4.0768 0.7957 -0.9541
Ho 0.0000 0.0000 6.7320
Ho 0.9209 3.1328 -2.2440
Pt 3.1235 3.9883 -0.5804
Nd 2.2681 2.3370 1.6038
Pt -1.3148 5.4100 -1.9775
```

ΔE_f (eV/f.u.): -7.26
Crystal system: cubic
Total energy (eV per atom): -6.296
N(E_F) (states/eV per atom): 0.72

This record from the Alexandria database describes a relaxed structure of Nd2HoPt. The functional is PBE.

extended XYZ file:
```
4
Lattice="3.6929 0.0000 0.0000 0.0000 3.6929 0.0000 0.0000 0.0000 8.4449" Properties=species:S:1:pos:R:3 pbc="T T T"
Pt 1.8464 1.8464 0.0000
Ho 1.8464 1.8464 4.2224
Nd 0.0000 0.0000 1.6951
Nd 0.0000 0.0000 6.7498
```

ΔE_f (eV/f.u.): -1.87
Crystal system: tetragonal
Total energy (eV per atom): -5.507
ΔE to the lowest computed polymorph (meV per atom): 180
N(E_F) (states/eV per atom): 1.59